This record from the Alexandria database describes crystalline LiCaAc2Se4 at its relaxed geometry. The functional is PBE.

Lattice parameters (Å, degrees): 4.372 7.386 7.538 70.04 90.00 90.00
Element x y z (fractional)
Li (0.500, 0.500, 0.000)
Ca (0.000, 0.500, 0.500)
Ac (0.000, 0.000, 0.000)
Ac (0.500, 0.000, 0.500)
Se (0.000, 0.732, 0.758)
Se (0.000, 0.268, 0.242)
Se (0.500, 0.731, 0.253)
Se (0.500, 0.269, 0.747)

**Volume**: 28.6 Å³/atom
**Formation energy without anion corrections**: -1.79 eV/atom
**Spin magnetization**: 0.0 μB per formula unit
**Total energy**: -0.3712 Ry per atom

=====

This record from the Alexandria database describes crystalline Li2Ca2AcSi2 at its relaxed geometry. The functional is PBE.

Lattice parameters (Å, degrees): 4.663 4.663 9.665 76.04 76.04 60.00
Element x y z (fractional)
Li (0.587, 0.587, 0.240)
Li (0.413, 0.413, 0.760)
Ca (0.130, 0.130, 0.609)
Ca (0.870, 0.870, 0.391)
Ac (0.000, 0.000, 0.000)
Si (0.744, 0.744, 0.769)
Si (0.256, 0.256, 0.231)

**Volume**: 25.0 Å³/atom
**Formation energy without anion corrections**: -0.37 eV/atom
**Spin magnetization**: 0.6 μB per formula unit
**Total energy**: -0.2662 Ry per atom

=====

This record from the Alexandria database describes crystalline LiCaAcSm at its relaxed geometry. The functional is PBE.

Lattice parameters (Å, degrees): 5.887 5.887 5.887 60.00 60.00 60.00
Element x y z (fractional)
Ac (0.500, 0.500, 0.500)
Ca (0.750, 0.750, 0.750)
Sm (0.250, 0.250, 0.250)
Li (0.000, 0.000, 0.000)

**Energy relative to the elements**: 236 meV/atom
**Volume**: 36.1 Å³/atom
**Spin magnetization**: 0.0 μB per formula unit
**Total energy**: -0.2168 Ry per atom

=====

This record from the Alexandria database describes crystalline LiCa2AcSn2 at its relaxed geometry. The functional is PBE.

Lattice parameters (Å, degrees): 4.989 4.989 9.206 105.72 105.72 90.00
Element x y z (fractional)
Li (0.000, 0.000, 0.000)
Ca (0.250, 0.750, 0.500)
Ca (0.750, 0.250, 0.500)
Ac (0.500, 0.500, 0.000)
Sn (0.862, 0.862, 0.723)
Sn (0.138, 0.138, 0.277)

**Energy relative to the elements**: -176 meV/atom
**Volume**: 35.3 Å³/atom
**Spin magnetization**: 0.0 μB per formula unit
**Total energy**: -0.2338 Ry per atom

=====

This record from the Alexandria database describes crystalline Li4CaAc2Sn3 at its relaxed geometry. The functional is PBE.

Lattice parameters (Å, degrees): 4.763 4.763 11.550 90.00 90.00 90.00
Element x y z (fractional)
Li (0.500, 0.500, 0.000)
Li (0.000, 0.000, 0.000)
Li (0.500, 0.000, 0.643)
Li (0.000, 0.500, 0.357)
Ca (0.500, 0.500, 0.500)
Ac (0.500, 0.000, 0.221)
Ac (0.000, 0.500, 0.779)
Sn (0.000, 0.000, 0.500)
Sn (0.500, 0.000, 0.871)
Sn (0.000, 0.500, 0.129)

**Energy relative to the elements**: -480 meV/atom
**Volume**: 26.2 Å³/atom
**Spin magnetization**: 0.0 μB per formula unit
**Total energy**: -0.2549 Ry per atom

=====

This record from the Alexandria database describes crystalline LiCaAcSn2 at its relaxed geometry. The functional is PBE.

Lattice parameters (Å, degrees): 7.104 5.794 7.132 90.00 90.00 90.00
Element x y z (fractional)
Li (0.000, 0.000, 0.000)
Li (0.000, 0.500, 0.000)
Ca (0.620, 0.750, 0.000)
Ca (0.380, 0.250, 0.000)
Ac (0.228, 0.250, 0.500)
Ac (0.772, 0.750, 0.500)
Sn (0.757, 0.250, 0.757)
Sn (0.757, 0.250, 0.243)
Sn (0.243, 0.750, 0.757)
Sn (0.243, 0.750, 0.243)

**Energy relative to the elements**: -445 meV/atom
**Volume**: 29.4 Å³/atom
**Spin magnetization**: 0.0 μB per formula unit
**Total energy**: -0.2683 Ry per atom

=====

This record from the Alexandria database describes crystalline SrLiCaAc at its relaxed geometry. The functional is PBE.

Lattice parameters (Å, degrees): 4.094 4.094 9.549 90.01 89.99 89.99
Element x y z (fractional)
Sr (0.646, 0.354, 0.011)
Li (0.146, 0.854, 0.242)
Ca (0.646, 0.354, 0.430)
Ac (0.146, 0.854, 0.706)

**Relative energy among the computed polymorphs**: 0.000 eV per atom
**Energy relative to the elements**: 59 meV/atom
**Volume**: 40.0 Å³/atom
**Spin magnetization**: 0.0 μB per formula unit
**Total energy**: -0.1740 Ry per atom

=====

This record from the Alexandria database describes crystalline SrLiCaAc at its relaxed geometry. The functional is PBE.

Lattice parameters (Å, degrees): 6.159 6.159 6.159 60.00 60.00 60.00
Element x y z (fractional)
Sr (0.750, 0.750, 0.750)
Ac (0.250, 0.250, 0.250)
Ca (0.500, 0.500, 0.500)
Li (0.000, 0.000, 0.000)

**Relative energy among the computed polymorphs**: 0.090 eV per atom
**Energy relative to the elements**: 149 meV/atom
**Volume**: 41.3 Å³/atom
**Spin magnetization**: 0.0 μB per formula unit
**Total energy**: -0.1674 Ry per atom

=====

This record from the Alexandria database describes crystalline LiCaAcTe3 at its relaxed geometry. The functional is PBE.

Lattice parameters (Å, degrees): 4.500 9.278 9.847 103.04 90.00 90.00
Element x y z (fractional)
Li (0.250, 0.088, 0.590)
Li (0.750, 0.912, 0.410)
Ca (0.250, 0.664, 0.161)
Ca (0.750, 0.336, 0.839)
Ac (0.250, 0.184, 0.235)
Ac (0.750, 0.816, 0.765)
Te (0.750, 0.903, 0.129)
Te (0.250, 0.097, 0.871)
Te (0.250, 0.781, 0.497)
Te (0.750, 0.219, 0.503)
Te (0.750, 0.426, 0.168)
Te (0.250, 0.574, 0.832)

**Volume**: 33.4 Å³/atom
**Formation energy without anion corrections**: -1.46 eV/atom
**Spin magnetization**: 0.0 μB per formula unit
**Total energy**: -0.3208 Ry per atom

=====

This record from the Alexandria database describes crystalline LiCaAc2Te4 at its relaxed geometry. The functional is PBE.

Lattice parameters (Å, degrees): 4.633 7.908 7.996 70.26 90.00 90.00
Element x y z (fractional)
Li (0.500, 0.500, 0.000)
Ca (0.000, 0.500, 0.500)
Ac (0.000, 0.000, 0.000)
Ac (0.500, 0.000, 0.500)
Te (0.000, 0.729, 0.760)
Te (0.000, 0.271, 0.240)
Te (0.500, 0.730, 0.252)
Te (0.500, 0.270, 0.748)

**Volume**: 34.5 Å³/atom
**Formation energy without anion corrections**: -1.45 eV/atom
**Spin magnetization**: 0.0 μB per formula unit
**Total energy**: -0.3335 Ry per atom

=====

This record from the Alexandria database describes crystalline LiCa3Ac2Te6 at its relaxed geometry. The functional is PBE.

Lattice parameters (Å, degrees): 7.937 7.937 7.966 99.62 99.62 120.01
Element x y z (fractional)
Li (0.000, 0.000, 0.000)
Ca (0.170, 0.830, 0.500)
Ca (0.830, 0.170, 0.500)
Ca (0.500, 0.500, 0.500)
Ac (0.334, 0.666, 0.000)
Ac (0.666, 0.334, 0.000)
Te (0.915, 0.592, 0.743)
Te (0.764, 0.764, 0.260)
Te (0.085, 0.408, 0.257)
Te (0.592, 0.915, 0.743)
Te (0.236, 0.236, 0.740)
Te (0.408, 0.085, 0.257)

**Volume**: 34.1 Å³/atom
**Formation energy without anion corrections**: -1.51 eV/atom
**Spin magnetization**: 0.0 μB per formula unit
**Total energy**: -0.3250 Ry per atom

=====

This record from the Alexandria database describes crystalline LiCa2AcTe4 at its relaxed geometry. The functional is PBE.

Lattice parameters (Å, degrees): 4.617 7.935 7.808 71.00 90.00 90.00
Element x y z (fractional)
Li (0.500, 0.500, 0.000)
Ca (0.000, 0.000, 0.000)
Ca (0.500, 0.000, 0.500)
Ac (0.000, 0.500, 0.500)
Te (0.000, 0.754, 0.755)
Te (0.000, 0.246, 0.245)
Te (0.500, 0.755, 0.237)
Te (0.500, 0.245, 0.763)

**Volume**: 33.8 Å³/atom
**Formation energy without anion corrections**: -1.48 eV/atom
**Spin magnetization**: 0.0 μB per formula unit
**Total energy**: -0.3162 Ry per atom